A plane-wave DFT calculation with PBE was carried out for a relaxed structure of Pa3Co4Si2.

a b c (Å): 10.5376 3.9658 7.8779
angles (deg): 90.00 117.18 90.00
Space group C2/m (No. 12)
Asymmetric unit:
Pa1 0.0000 0.0000 0.0000 [2 per cell]
Pa2 0.1312 0.5000 0.6990 [4 per cell]
Co1 0.0842 0.0000 0.4067 [4 per cell]
Co2 0.2052 0.5000 0.0684 [4 per cell]
Si1 0.1680 0.5000 0.3396 [4 per cell]

## Properties
E_form (uncorrected): -575 meV/atom
Crystal system: monoclinic
Uncorrected energy: -145.86 eV for the cell shown